No. 1
This record from Alexandria via LeMat-Bulk describes a geometry-optimized CsRbIn4 structure. The functional is PBE.

The space group is Cm (No. 8) and the conventional cell measures 14.524, 6.331 and 5.825 Å, with angles of 90.00, 113.40 and 90.00 degrees. The asymmetric unit holds Cs at (0.000, 0.000, 0.000), Rb at (0.291, 0.500, 0.290), In at (0.146, 0.256, 0.646), In at (0.336, 0.000, 0.838) and In at (0.451, 0.000, 0.450).

As for the mass density: 4.579 Mg/m³. As for the density of states at the Fermi level: 9.211 states/eV per cell. The formation energy comes out at 0.00 eV/atom.


No. 2
This record from Alexandria via LeMat-Bulk describes a geometry-optimized Cs3RbIn structure. The functional is PBE.

The space group is Pm-3m (No. 221) and the conventional cell measures 8.302, 8.302 and 8.302 Å, with angles of 90.00, 90.00 and 90.00 degrees. The asymmetric unit holds Cs at (0.000, 0.000, 0.500), Rb at (0.000, 0.000, 0.000) and In at (0.500, 0.500, 0.500).

As for the mass density: 1.738 Mg/m³. As for the density of states at the Fermi level: 12.419 states/eV per cell. The formation energy comes out at 0.46 eV/atom.


No. 3
This record from Alexandria via LeMat-Bulk describes a geometry-optimized Cs2RbIn2 structure. The functional is PBE.

The space group is C2/m (No. 12) and the conventional cell measures 15.180, 5.289 and 7.583 Å, with angles of 90.00, 98.95 and 90.00 degrees. The asymmetric unit holds Cs at (0.145, 0.000, 0.055), Rb at (0.000, 0.500, 0.500) and In at (0.243, 0.000, 0.579).

As for the mass density: 3.208 Mg/m³. As for the density of states at the Fermi level: 7.654 states/eV per cell. The formation energy comes out at -0.02 eV/atom.


No. 4
This record from Alexandria via LeMat-Bulk describes a geometry-optimized CsRbIn4 structure. The functional is PBE.

The space group is F-43m (No. 216) and the conventional cell measures 9.445, 9.445 and 9.445 Å, with angles of 90.00, 90.00 and 90.00 degrees. The asymmetric unit holds Cs at (0.000, 0.000, 0.000), Rb at (0.250, 0.250, 0.750) and In at (0.125, 0.125, 0.375).

As for the mass density: 5.342 Mg/m³. As for the density of states at the Fermi level: 23.512 states/eV per cell. The formation energy comes out at -0.06 eV/atom.


No. 5
This record from Alexandria via LeMat-Bulk describes a geometry-optimized CsRb2In2 structure. The functional is PBE.

The space group is I4/mmm (No. 139) and the conventional cell measures 4.507, 4.507 and 30.329 Å, with angles of 90.00, 90.00 and 90.00 degrees. The asymmetric unit holds Cs at (0.000, 0.000, 0.000), Rb at (0.000, 0.000, 0.356) and In at (0.000, 0.500, 0.250).

As for the mass density: 2.875 Mg/m³. As for the density of states at the Fermi level: 6.133 states/eV per cell. The formation energy comes out at 0.05 eV/atom.


No. 6
This record from Alexandria via LeMat-Bulk describes a geometry-optimized Cs3RbIn structure. The functional is PBE.

The space group is Pm-3m (No. 221) and the conventional cell measures 7.698, 7.698 and 7.698 Å, with angles of 90.00, 90.00 and 90.00 degrees. The asymmetric unit holds Cs at (0.000, 0.000, 0.500), Rb at (0.500, 0.500, 0.500) and In at (0.000, 0.000, 0.000).

As for the mass density: 2.181 Mg/m³. As for the density of states at the Fermi level: 7.673 states/eV per cell. The formation energy comes out at 0.09 eV/atom.


No. 7
This record from Alexandria via LeMat-Bulk describes a geometry-optimized CsRb4In structure. The functional is PBE.

The space group is C2/m (No. 12) and the conventional cell measures 23.459, 10.336 and 8.348 Å, with angles of 90.00, 110.76 and 90.00 degrees. The asymmetric unit holds Cs at (0.207, 0.000, 0.205), Rb at (0.000, 0.228, 0.000), Rb at (0.109, 0.236, 0.610), Rb at (0.153, 0.500, 0.155) and In at (0.001, 0.500, 0.327).

As for the mass density: 2.069 Mg/m³. As for the density of states at the Fermi level: 23.133 states/eV per cell. The formation energy comes out at 0.01 eV/atom.


No. 8
This record from Alexandria via LeMat-Bulk describes a geometry-optimized CsRb2In structure. The functional is PBE.

The space group is P4/mmm (No. 123) and the conventional cell measures 6.296, 6.296 and 6.302 Å, with angles of 90.00, 90.00 and 90.00 degrees. The asymmetric unit holds Cs at (0.000, 0.000, 0.000), Rb at (0.000, 0.500, 0.500) and In at (0.500, 0.500, 0.000).

As for the mass density: 2.783 Mg/m³. As for the density of states at the Fermi level: 4.090 states/eV per cell. The formation energy comes out at 0.12 eV/atom.


No. 9
This record from Alexandria via LeMat-Bulk describes a geometry-optimized CsRb2In structure. The functional is PBE.

The space group is R-3m (No. 166, hexagonal axes) and the conventional cell measures 4.5864, 4.5864 and 48.9608 Å, with angles of 90.00, 90.00 and 120.00 degrees. The asymmetric unit holds Cs at (0.0000, 0.0000, 0.0000), Rb at (0.0000, 0.0000, 0.4248) and In at (0.0000, 0.0000, 0.5000).

As for the mass density: 2.338 Mg/m³. As for the density of states at the Fermi level: 14.403 states/eV per cell. The formation energy comes out at 0.29 eV/atom.


No. 10
This record from Alexandria via LeMat-Bulk describes a geometry-optimized Cs2Rb6In structure. The functional is PBE.

The space group is P2_1/c (No. 14) and the conventional cell measures 9.204, 10.930 and 16.459 Å, with angles of 90.00, 113.83 and 90.00 degrees. The asymmetric unit holds Cs at (0.089, 0.050, 0.268), Rb at (0.170, 0.710, 0.015), Rb at (0.347, 0.168, 0.999), Rb at (0.435, 0.084, 0.721) and In at (0.500, 0.000, 0.500).

As for the mass density: 1.959 Mg/m³. As for the density of states at the Fermi level: 12.245 states/eV per cell. The formation energy comes out at 0.03 eV/atom.


No. 11
This record from Alexandria via LeMat-Bulk describes a geometry-optimized CsRb2In2 structure. The functional is PBE.

The space group is P4/mbm (No. 127) and the conventional cell measures 10.433, 10.433 and 5.021 Å, with angles of 90.00, 90.00 and 90.00 degrees. The asymmetric unit holds Cs at (0.000, 0.000, 0.000), Rb at (0.182, 0.318, 0.500) and In at (0.098, 0.598, 0.000).

As for the mass density: 3.242 Mg/m³. As for the density of states at the Fermi level: 8.658 states/eV per cell. The formation energy comes out at 0.05 eV/atom.


No. 12
This record from Alexandria via LeMat-Bulk describes a geometry-optimized Cs3Rb7In structure. The functional is PBE.

The space group is Cm (No. 8) and the conventional cell measures 15.912, 12.173 and 12.577 Å, with angles of 90.00, 120.74 and 90.00 degrees. The asymmetric unit holds Cs at (0.000, 0.000, 0.000), Cs at (0.044, 0.282, 0.308), Rb at (0.190, 0.319, 0.028), Rb at (0.191, 0.500, 0.673), Rb at (0.309, 0.000, 0.400), Rb at (0.310, 0.000, 0.838), Rb at (0.447, 0.299, 0.627) and In at (0.002, 0.500, 0.752).

As for the mass density: 1.763 Mg/m³. As for the density of states at the Fermi level: 20.457 states/eV per cell. The formation energy comes out at 0.07 eV/atom.